# 1
Entry from the Alexandria database: RbCa3Tc after structural relaxation (PBE).

energy above the most stable polymorph in this dataset	0	meV per atom
mass density	2.6	Mg/m³
spin magnetization	1.30	μB per cell
formation energy from the elements	2.33	eV/f.u.
E_tot	-3.002	eV per atom
DOS(E_F)	6.3	states/eV per cell

abc: 5.790 5.790 5.790
angles: 90.00 90.00 90.00
Positions (direct):
Ca (0.000, 0.000, 0.500)
Ca (0.500, 0.000, 0.000)
Ca (0.000, 0.500, 0.000)
Rb (0.500, 0.500, 0.500)
Tc (0.000, 0.000, 0.000)

# 2
Entry from the Alexandria database: PrHo2Er8 after structural relaxation (PBE).

mass density	8.7	Mg/m³
spin magnetization	0.00	μB per cell
formation energy from the elements	1.12	eV/f.u.
E_tot	-4.484	eV per atom
DOS(E_F)	18.2	states/eV per cell

abc: 5.404 8.305 9.044
angles: 115.15 107.38 90.00
Positions (direct):
Er (0.618, 0.444, 0.237)
Er (0.160, 0.199, 0.320)
Er (0.840, 0.801, 0.680)
Er (0.382, 0.556, 0.763)
Er (0.981, 0.278, 0.963)
Er (0.019, 0.722, 0.037)
Er (0.667, 0.893, 0.334)
Er (0.333, 0.107, 0.666)
Ho (0.202, 0.658, 0.404)
Ho (0.798, 0.342, 0.596)
Pr (0.500, 0.000, 0.000)

# 3
Entry from the Alexandria database: Zn2CrW after structural relaxation (PBE).

energy above the most stable polymorph in this dataset	29	meV per atom
mass density	10.8	Mg/m³
spin magnetization	0.00	μB per cell
formation energy from the elements	0.83	eV/f.u.
E_tot	-6.073	eV per atom
DOS(E_F)	1.7	states/eV per cell

abc: 4.232 2.664 5.045
angles: 82.92 90.00 90.00
Positions (direct):
Zn (0.000, 0.121, 0.998)
Zn (0.500, 0.145, 0.254)
Cr (0.000, 0.521, 0.503)
W (0.500, 0.712, 0.744)

# 4
Entry from the Alexandria database: Tb2Te2S after structural relaxation (PBE).

energy above the most stable polymorph in this dataset	70	meV per atom
mass density	6.9	Mg/m³
spin magnetization	0.00	μB per cell
E_tot	-5.452	eV per atom

abc: 4.243 7.400 9.556
angles: 90.00 102.83 90.00
Positions (direct):
Te (0.196, 0.523, 0.393)
Te (0.035, 0.272, 0.071)
Te (0.804, 0.023, 0.607)
Te (0.965, 0.772, 0.929)
Tb (0.558, 0.579, 0.115)
Tb (0.823, 0.566, 0.645)
Tb (0.442, 0.079, 0.885)
Tb (0.177, 0.066, 0.355)
S (0.607, 0.926, 0.215)
S (0.393, 0.426, 0.785)

# 5
Entry from the Alexandria database: Tb3Nd3MgSe8 after structural relaxation (PBE).

mass density	6.5	Mg/m³
spin magnetization	0.00	μB per cell
E_tot	-5.624	eV per atom
DOS(E_F)	3.3	states/eV per cell

abc: 8.241 8.241 8.323
angles: 119.67 90.00 120.00
Positions (direct):
Nd (0.000, 0.500, 0.000)
Nd (0.500, 0.500, 0.000)
Nd (0.000, 0.000, 0.000)
Tb (0.500, 0.000, 0.500)
Tb (0.500, 0.500, 0.500)
Tb (0.000, 0.500, 0.500)
Se (0.254, 0.508, 0.262)
Se (0.759, 0.519, 0.267)
Se (0.746, 0.492, 0.738)
Se (0.248, 0.007, 0.267)
Se (0.759, 0.007, 0.267)
Se (0.241, 0.993, 0.733)
Se (0.752, 0.993, 0.733)
Se (0.241, 0.481, 0.733)
Mg (0.000, 0.000, 0.500)

# 6
Entry from the Alexandria database: Tb7SbC2 after structural relaxation (PBE).

mass density	8.0	Mg/m³
spin magnetization	0.00	μB per cell
E_tot	-5.543	eV per atom
DOS(E_F)	10.2	states/eV per cell

abc: 4.809 7.573 7.573
angles: 108.88 90.00 90.00
Positions (direct):
Tb (0.000, 0.295, 0.705)
Tb (0.000, 0.705, 0.295)
Tb (0.500, 0.324, 0.054)
Tb (0.500, 0.676, 0.946)
Tb (0.500, 0.946, 0.676)
Tb (0.500, 0.054, 0.324)
Tb (0.500, 0.500, 0.500)
Sb (0.000, 0.000, 0.000)
C (0.500, 0.713, 0.287)
C (0.500, 0.287, 0.713)

# 7
Entry from the Alexandria database: CaHfWI2 after structural relaxation (PBE).

mass density	6.6	Mg/m³
spin magnetization	2.04	μB per cell
E_tot	-4.228	eV per atom
DOS(E_F)	6.5	states/eV per cell

abc: 5.310 5.851 5.310
angles: 90.00 90.00 90.00
Positions (direct):
I (0.500, 0.000, 0.000)
I (0.000, 0.000, 0.500)
Ca (0.000, 0.500, 0.000)
W (0.000, 0.000, 0.000)
Hf (0.500, 0.500, 0.500)

# 8
Entry from the Alexandria database: Dy5Ir3 after structural relaxation (PBE).

energy above the most stable polymorph in this dataset	0	meV per atom
mass density	12.2	Mg/m³
spin magnetization	0.00	μB per cell
formation energy from the elements	-6.46	eV/f.u.
E_tot	-7.007	eV per atom
DOS(E_F)	19.1	states/eV per cell

abc: 10.892 10.892 6.377
angles: 90.00 90.00 90.00
Positions (direct):
Ir (0.154, 0.846, 0.250)
Ir (0.346, 0.654, 0.750)
Ir (0.846, 0.154, 0.250)
Ir (0.500, 0.000, 0.625)
Ir (0.654, 0.346, 0.750)
Ir (0.154, 0.154, 0.750)
Ir (0.500, 0.000, 0.125)
Ir (0.000, 0.500, 0.875)
Ir (0.846, 0.846, 0.750)
Ir (0.654, 0.654, 0.250)
Ir (0.000, 0.500, 0.375)
Ir (0.346, 0.346, 0.250)
Dy (0.412, 0.792, 0.380)
Dy (0.088, 0.708, 0.620)
Dy (0.588, 0.792, 0.880)
Dy (0.412, 0.208, 0.880)
Dy (0.292, 0.912, 0.880)
Dy (0.792, 0.588, 0.620)
Dy (0.000, 0.000, 0.500)
Dy (0.708, 0.912, 0.380)
Dy (0.292, 0.088, 0.380)
Dy (0.500, 0.500, 0.500)
Dy (0.912, 0.708, 0.120)
Dy (0.792, 0.412, 0.120)
Dy (0.088, 0.292, 0.120)
Dy (0.000, 0.000, 0.000)
Dy (0.208, 0.588, 0.120)
Dy (0.500, 0.500, 0.000)
Dy (0.708, 0.088, 0.880)
Dy (0.208, 0.412, 0.620)
Dy (0.588, 0.208, 0.380)
Dy (0.912, 0.292, 0.620)